(1)
The following is a DFT calculation (PBE) of a relaxed structure of In3GeCl.

a = 5.4948 Å, b = 5.4948 Å, c = 5.4948 Å
α = 90.00°, β = 90.00°, γ = 90.00°
Positions (direct):
Ge  0.0000  0.0000  0.0000
Cl  0.5000  0.5000  0.5000
In  0.0000  0.5000  0.0000
In  0.0000  0.0000  0.5000
In  0.5000  0.0000  0.0000

Mass density: 4.5 g cm⁻³
Size of the total moment: 0.00 μB/f.u.
Raw formation energy: 0.0737 eV/atom

(2)
The following is a DFT calculation (PBE) of a relaxed structure of In3Ge5Cl12.

a = 14.9246 Å, b = 14.9246 Å, c = 14.9246 Å
α = 109.47°, β = 109.47°, γ = 109.47°
Positions (direct):
In  0.7500  0.3750  0.1250
In  0.8750  0.7500  0.1250
In  0.3750  0.7500  0.6250
In  0.2500  0.1250  0.3750
In  0.8750  0.1250  0.2500
In  0.3750  0.6250  0.2500
In  0.6250  0.3750  0.7500
In  0.1250  0.8750  0.7500
In  0.7500  0.8750  0.6250
In  0.6250  0.2500  0.3750
In  0.1250  0.2500  0.8750
In  0.2500  0.6250  0.8750
Ge  0.1250  0.3750  0.2500
Ge  0.0000  0.5000  0.0000
Ge  0.0000  0.0000  0.0000
Ge  0.3750  0.2500  0.1250
Ge  0.5000  0.0000  0.5000
Ge  0.5000  0.5000  0.0000
Ge  0.1250  0.7500  0.3750
Ge  0.7500  0.1250  0.8750
Ge  0.7500  0.6250  0.3750
Ge  0.3750  0.1250  0.7500
Ge  0.6250  0.8750  0.2500
Ge  0.5000  0.5000  0.5000
Ge  0.5000  0.0000  0.0000
Ge  0.0000  0.0000  0.5000
Ge  0.2500  0.3750  0.6250
Ge  0.2500  0.8750  0.1250
Ge  0.0000  0.5000  0.5000
Ge  0.8750  0.2500  0.6250
Ge  0.6250  0.7500  0.8750
Ge  0.8750  0.6250  0.7500
Cl  0.6983  0.1132  0.0214
Cl  0.3231  0.5214  0.4082
Cl  0.9786  0.3868  0.3017
Cl  0.5214  0.1983  0.1132
Cl  0.5852  0.6983  0.6769
Cl  0.9786  0.5918  0.1769
Cl  0.3231  0.8017  0.4148
Cl  0.0918  0.9148  0.1132
Cl  0.5918  0.9786  0.6769
Cl  0.6983  0.5852  0.1769
Cl  0.8017  0.4786  0.3868
Cl  0.8231  0.9082  0.0214
Cl  0.1132  0.6983  0.5214
Cl  0.3868  0.4082  0.0852
Cl  0.0852  0.9082  0.3868
Cl  0.4148  0.1132  0.5918
Cl  0.0852  0.1769  0.1983
Cl  0.4786  0.6769  0.0918
Cl  0.8231  0.9148  0.3017
Cl  0.1132  0.4148  0.0918
Cl  0.3868  0.9786  0.8017
Cl  0.5918  0.6132  0.4148
Cl  0.9082  0.8231  0.5214
Cl  0.8017  0.3231  0.9148
Cl  0.4082  0.3868  0.5852
Cl  0.0918  0.1769  0.4786
Cl  0.1983  0.6769  0.0852
Cl  0.1769  0.0852  0.6983
Cl  0.6132  0.0214  0.1983
Cl  0.8868  0.5852  0.9082
Cl  0.5214  0.3231  0.9082
Cl  0.5852  0.8868  0.4082
Cl  0.9148  0.8231  0.8017
Cl  0.9148  0.0918  0.6132
Cl  0.8868  0.3017  0.4786
Cl  0.1769  0.0918  0.9786
Cl  0.6132  0.5918  0.9148
Cl  0.4082  0.0214  0.3231
Cl  0.3017  0.4148  0.8231
Cl  0.1983  0.5214  0.6132
Cl  0.9082  0.0852  0.8868
Cl  0.6769  0.1983  0.5852
Cl  0.4786  0.8017  0.8868
Cl  0.0214  0.4082  0.8231
Cl  0.4148  0.3017  0.3231
Cl  0.0214  0.6132  0.6983
Cl  0.6769  0.4786  0.5918
Cl  0.3017  0.8868  0.9786

Mass density: 2.9 g cm⁻³
Size of the total moment: 0.00 μB/f.u.
Raw formation energy: -0.6397 eV/atom

(3)
The following is a DFT calculation (PBE) of a relaxed structure of InGeCl5.

a = 3.5661 Å, b = 8.2901 Å, c = 17.1787 Å
α = 73.15°, β = 90.00°, γ = 90.00°
Positions (direct):
In  0.2500  0.3210  0.3448
In  0.7500  0.6790  0.6552
Ge  0.7500  0.0723  0.1467
Ge  0.2500  0.9277  0.8533
Cl  0.2500  0.0466  0.3313
Cl  0.7500  0.1228  0.8844
Cl  0.7500  0.3176  0.4522
Cl  0.2500  0.2852  0.0776
Cl  0.2500  0.5136  0.7499
Cl  0.7500  0.4864  0.2501
Cl  0.7500  0.7148  0.9224
Cl  0.2500  0.6824  0.5478
Cl  0.2500  0.8772  0.1156
Cl  0.7500  0.9534  0.6687

Mass density: 2.5 g cm⁻³
Size of the total moment: 0.00 μB/f.u.
Raw formation energy: -0.8591 eV/atom

(4)
The following is a DFT calculation (PBE) of a relaxed structure of In2Ge2Cl7.

a = 6.4333 Å, b = 7.7002 Å, c = 7.7002 Å
α = 87.33°, β = 94.54°, γ = 94.54°
Positions (direct):
In  0.0000  0.2774  0.7226
In  0.0000  0.7226  0.2774
Ge  0.4685  0.2316  0.2316
Ge  0.5315  0.7684  0.7684
Cl  0.7482  0.8904  0.5595
Cl  0.2518  0.4405  0.1096
Cl  0.2518  0.1096  0.4405
Cl  0.7482  0.5595  0.8904
Cl  0.5000  0.0000  0.0000
Cl  0.2626  0.5944  0.5944
Cl  0.7374  0.4056  0.4056

Mass density: 2.7 g cm⁻³
Size of the total moment: 0.00 μB/f.u.
Raw formation energy: -0.7562 eV/atom

(5)
The following is a DFT calculation (PBE) of a relaxed structure of KInGe2Cl8.

a = 7.2986 Å, b = 6.1676 Å, c = 8.7709 Å
α = 93.69°, β = 85.33°, γ = 85.02°
Positions (direct):
K  0.0000  0.0000  0.5000
In  0.0000  0.0000  0.0000
Ge  0.3999  0.4682  0.7649
Ge  0.6001  0.5318  0.2351
Cl  0.1758  0.7977  0.1772
Cl  0.7015  0.7915  0.0590
Cl  0.8963  0.3014  0.2303
Cl  0.8242  0.2023  0.8228
Cl  0.2985  0.2085  0.9410
Cl  0.1037  0.6986  0.7697
Cl  0.6529  0.7224  0.4583
Cl  0.3471  0.2776  0.5417

Mass density: 2.5 g cm⁻³
Size of the total moment: 0.00 μB/f.u.
Raw formation energy: -1.0810 eV/atom

(6)
The following is a DFT calculation (PBE) of a relaxed structure of LiIn2GeCl5.

a = 4.0487 Å, b = 9.3101 Å, c = 13.8978 Å
α = 90.00°, β = 90.00°, γ = 102.56°
Positions (direct):
Li  0.5480  0.0960  0.9383
Li  0.4520  0.9040  0.4383
In  0.8604  0.7207  0.8162
In  0.0863  0.1725  0.6741
In  0.1396  0.2793  0.3162
In  0.9137  0.8275  0.1741
Ge  0.7972  0.5943  0.5281
Ge  0.2028  0.4057  0.0281
Cl  0.3350  0.6701  0.9996
Cl  0.6795  0.3589  0.8987
Cl  0.4898  0.9797  0.7850
Cl  0.2860  0.5720  0.6584
Cl  0.9694  0.9387  0.5256
Cl  0.6650  0.3299  0.4996
Cl  0.3205  0.6411  0.3987
Cl  0.5102  0.0203  0.2850
Cl  0.7140  0.4280  0.1584
Cl  0.0306  0.0613  0.0256

Mass density: 3.2 g cm⁻³
Size of the total moment: 0.00 μB/f.u.
Raw formation energy: -1.0243 eV/atom

(7)
The following is a DFT calculation (PBE) of a relaxed structure of LiInGe2Cl6.

a = 10.4133 Å, b = 8.9193 Å, c = 8.9193 Å
α = 73.55°, β = 60.59°, γ = 60.59°
Positions (direct):
Li  0.2500  0.2243  0.7757
Li  0.7500  0.7757  0.2243
In  0.2500  0.8111  0.1889
In  0.7500  0.1889  0.8111
Ge  0.3520  0.6816  0.7003
Ge  0.1480  0.2997  0.3184
Ge  0.6480  0.3184  0.2997
Ge  0.8520  0.7003  0.6816
Cl  0.2141  0.9639  0.8034
Cl  0.2859  0.1966  0.0361
Cl  0.7859  0.0361  0.1966
Cl  0.7141  0.8034  0.9639
Cl  0.4879  0.7594  0.4030
Cl  0.0121  0.5970  0.2406
Cl  0.5121  0.2406  0.5970
Cl  0.9879  0.4030  0.7594
Cl  0.0692  0.7754  0.5936
Cl  0.4308  0.4064  0.2246
Cl  0.9308  0.2246  0.4064
Cl  0.5692  0.5936  0.7754

Mass density: 2.5 g cm⁻³
Size of the total moment: 0.00 μB/f.u.
Raw formation energy: -0.9881 eV/atom

(8)
The following is a DFT calculation (PBE) of a relaxed structure of NaIn2GeCl5.

a = 4.0648 Å, b = 9.3673 Å, c = 14.4312 Å
α = 90.00°, β = 90.00°, γ = 102.53°
Positions (direct):
Na  0.5372  0.0744  0.9486
Na  0.4628  0.9256  0.4486
In  0.8704  0.7407  0.8036
In  0.0987  0.1974  0.6578
In  0.1296  0.2593  0.3036
In  0.9013  0.8026  0.1578
Ge  0.7881  0.5762  0.5242
Ge  0.2119  0.4238  0.0242
Cl  0.3901  0.7801  0.0012
Cl  0.6881  0.3761  0.9036
Cl  0.4890  0.9779  0.7737
Cl  0.2715  0.5430  0.6504
Cl  0.9182  0.8363  0.5609
Cl  0.6099  0.2199  0.5012
Cl  0.3119  0.6239  0.4036
Cl  0.5110  0.0221  0.2737
Cl  0.7285  0.4570  0.1504
Cl  0.0818  0.1637  0.0609

Mass density: 3.1 g cm⁻³
Size of the total moment: 0.00 μB/f.u.
Raw formation energy: -1.0027 eV/atom

(9)
The following is a DFT calculation (PBE) of a relaxed structure of NaInGe2Cl6.

a = 11.4135 Å, b = 8.8329 Å, c = 8.8329 Å
α = 64.22°, β = 59.96°, γ = 59.96°
Positions (direct):
Na  0.2500  0.3100  0.6900
Na  0.7500  0.6900  0.3100
In  0.2500  0.8065  0.1935
In  0.7500  0.1935  0.8065
Ge  0.3698  0.6738  0.7004
Ge  0.1302  0.2996  0.3262
Ge  0.6302  0.3262  0.2996
Ge  0.8698  0.7004  0.6738
Cl  0.2508  0.9561  0.7680
Cl  0.2492  0.2320  0.0439
Cl  0.7492  0.0439  0.2320
Cl  0.7508  0.7680  0.9561
Cl  0.4504  0.7791  0.3824
Cl  0.0496  0.6176  0.2209
Cl  0.5496  0.2209  0.6176
Cl  0.9504  0.3824  0.7791
Cl  0.0989  0.7042  0.6163
Cl  0.4011  0.3837  0.2958
Cl  0.9011  0.2958  0.3837
Cl  0.5989  0.6163  0.7042

Mass density: 2.5 g cm⁻³
Size of the total moment: 0.00 μB/f.u.
Raw formation energy: -1.0041 eV/atom

(10)
The following is a DFT calculation (PBE) of a relaxed structure of NaInGe2Cl8.

a = 6.9415 Å, b = 6.1476 Å, c = 8.1454 Å
α = 91.78°, β = 87.00°, γ = 87.12°
Positions (direct):
Na  0.0000  0.0000  0.5000
In  0.0000  0.0000  0.0000
Ge  0.4278  0.4713  0.7510
Ge  0.5722  0.5287  0.2490
Cl  0.1673  0.7992  0.2118
Cl  0.6948  0.7674  0.0356
Cl  0.8695  0.2740  0.2436
Cl  0.8327  0.2008  0.7882
Cl  0.3052  0.2326  0.9644
Cl  0.1305  0.7260  0.7564
Cl  0.6646  0.7272  0.4749
Cl  0.3354  0.2728  0.5251

Mass density: 2.7 g cm⁻³
Size of the total moment: 0.00 μB/f.u.
Raw formation energy: -1.0447 eV/atom

(11)
The following is a DFT calculation (PBE) of a relaxed structure of NbIn2GeCl.

a = 5.6467 Å, b = 4.8983 Å, c = 5.6467 Å
α = 90.00°, β = 90.00°, γ = 90.00°
Site moments in Bohr magnetons follow the coordinates.
Positions (direct):
Nb  0.0000  0.0000  0.0000  0.74
Cl  0.5000  0.5000  0.5000  0.07
Ge  0.0000  0.5000  0.0000  0.00
In  0.0000  0.0000  0.5000  0.04
In  0.5000  0.0000  0.0000  0.06

Mass density: 4.6 g cm⁻³
Size of the total moment: 1.27 μB/f.u.
Raw formation energy: 0.3344 eV/atom

(12)
The following is a DFT calculation (PBE) of a relaxed structure of NbInGeCl2.

a = 4.9086 Å, b = 6.0950 Å, c = 4.9086 Å
α = 90.00°, β = 90.00°, γ = 90.00°
Site moments in Bohr magnetons follow the coordinates.
Positions (direct):
Nb  0.0000  0.5000  0.0000  1.83
Cl  0.0000  0.0000  0.5000  0.03
Cl  0.5000  0.0000  0.0000  0.03
Ge  0.5000  0.5000  0.5000  -0.08
In  0.0000  0.0000  0.0000  -0.01

Mass density: 4.0 g cm⁻³
Size of the total moment: 2.23 μB/f.u.
Raw formation energy: 0.7826 eV/atom

| no. | calculated total energy (eV per cell) |
| --- | --- |
| 1 | -14.31 |
| 2 | -265.02 |
| 3 | -45.20 |
| 4 | -35.96 |
| 5 | -40.82 |
| 6 | -60.92 |
| 7 | -69.69 |
| 8 | -59.34 |
| 9 | -68.83 |
| 10 | -40.60 |
| 11 | -20.34 |
| 12 | -17.21 |